# 1
Density functional theory data (PBE-GGA) for a geometry-optimized Na4Ag3F8 structure.

abc: 9.2510 9.4132 6.8388
angles: 90.00 132.29 90.00
Space group C2/m (No. 12)
Inequivalent atoms, fractional coordinates:
Na  0.0000  0.0000  0.0000
Na  0.0000  0.0000  0.5000
Na  0.2500  0.2500  0.0000
Ag  0.0000  0.5000  0.0000
Ag  0.2500  0.2500  0.5000
F  0.0000  0.2410  0.0000
F  0.0000  0.2417  0.5000
F  0.2266  0.0000  0.4663
F  0.2332  0.0000  0.9530

Calculated values
energy	-3.8614	eV per atom
D(E_F)	14.41	states/eV per cell
size of the total moment	0.310	μB per formula unit
ΔE_f (raw)	-1941	meV/atom

***

# 2
Density functional theory data (PBE-GGA) for a geometry-optimized TiTl2Pt2 structure.

abc: 6.7558 6.7558 4.5138
angles: 90.00 90.00 90.00
Space group P4/mbm (No. 127)
Inequivalent atoms, fractional coordinates:
Ti  0.0000  0.0000  0.0000
Tl  0.1765  0.3235  0.5000
Pt  0.1389  0.6389  0.0000

Calculated values
energy	-5.0345	eV per atom
D(E_F)	7.51	states/eV per cell
size of the total moment	0.000	μB per formula unit
formation energy from the elements	-0.09	eV/atom

***

# 3
Density functional theory data (PBE-GGA) for a geometry-optimized Nb3TeS8 structure.

abc: 6.9642 6.9642 13.0461
angles: 90.00 90.00 120.00
Space group P6_3mc (No. 186)
Inequivalent atoms, fractional coordinates:
Nb  0.1615  0.3229  0.0000
Te  0.3333  0.6667  0.2421
S  0.0000  0.0000  0.1187
S  0.0025  0.5013  0.1208
S  0.1677  0.3354  0.3960
S  0.3333  0.6667  0.8896

Calculated values
energy	-6.1855	eV per atom
D(E_F)	12.85	states/eV per cell
size of the total moment	0.000	μB per formula unit
ΔE_f (raw)	-655	meV/atom

***

# 4
Density functional theory data (PBE-GGA) for a geometry-optimized LaYZn structure.

abc: 5.1211 5.1211 3.8202
angles: 90.00 90.00 120.00
Space group P3m1 (No. 156)
Inequivalent atoms, fractional coordinates:
La  0.0000  0.0000  0.0000
Y  0.6667  0.3333  0.5006
Zn  0.3333  0.6667  0.4984

Calculated values
energy	-4.2737	eV per atom
D(E_F)	4.56	states/eV per cell
size of the total moment	0.000	μB per formula unit
energy relative to the lowest polymorph listed for this composition	0.149	eV per atom
formation energy from the elements	-0.05	eV/atom

***

# 5
Density functional theory data (PBE-GGA) for a geometry-optimized ThAgBi structure.

abc: 5.0100 5.0100 24.7139
angles: 90.00 90.00 120.00
Space group R-3m (No. 166, hexagonal axes)
Inequivalent atoms, fractional coordinates:
Th  0.0000  0.0000  0.0664
Ag  0.0000  0.0000  0.3342
Bi  0.0000  0.0000  0.2037

Calculated values
energy	-4.8254	eV per atom
D(E_F)	14.23	states/eV per cell
size of the total moment	0.000	μB per formula unit
formation energy from the elements	-0.11	eV/atom